Compound: SrHf2Ga
Source: Alexandria
Functional: PBE-GGA
Structure: optimized geometry

```
SrHf2Ga
1.0
5.062 0.000 0.000
0.000 5.062 0.000
0.000 0.000 20.077
Sr Hf Ga
4 8 4
Cartesian
0.000 0.000 0.000
0.000 2.531 5.019
2.531 0.000 15.058
2.531 2.531 10.039
0.304 1.266 12.548
1.266 2.835 17.568
1.266 4.758 7.529
2.227 1.266 2.510
2.835 3.797 2.510
3.797 0.304 7.529
3.797 2.227 17.568
4.758 3.797 12.548
0.000 0.000 10.039
0.000 2.531 15.058
2.531 0.000 5.019
2.531 2.531 0.000
```

Calculated values
- space group = I-42d
- DOS at the Fermi energy (states/eV/f.u.) = 5.2
- energy of formation from the pure elements (eV per formula unit) = 2.782
- total DFT energy (no corrections) (eV per atom) = -5.4584
- volume (Å³/atom) = 32.2